Entry from Alexandria: La3Zn after structural relaxation (PBE-GGA).

Cell and atoms, written as extended XYZ:
```
4
Lattice="4.8853 0.0000 0.0000 0.0000 4.8853 0.0000 -2.4427 -2.4427 5.0582" Properties=species:S:1:pos:R:3 pbc="T T T"
Zn 0.0000 0.0000 0.0000
La 2.4427 0.0000 2.5291
La 0.0000 2.4427 2.5291
La 2.4427 2.4427 0.0000
```

For the volume, the calculation gives 121 Å³/cell. Its space group is I4/mmm. The total energy comes out at -4.082 eV per atom. As for the formation energy: -0.068 eV per atom.